{
  "formula": "TaHgOs2",
  "functional": "SCAN",
  "state": "PBEsol geometry",
  "magmom_total_mub_per_cell": 0.0,
  "energy_ev_per_atom": -68.95,
  "sg": "Pmmm (47)",
  "lattice": [[3.041, 0.000, 0.000], [0.000, 4.450, 0.000], [0.000, 0.000, 4.763]],
  "species": ["Os", "Os", "Ta", "Hg"],
  "fractional_positions": [[0.500, 0.000, 0.500], [0.000, 0.000, 0.000], [0.500, 0.500, 0.000], [0.000, 0.500, 0.500]]
}